[1]
DFT (PBE) results for crystalline MgCd2W at its relaxed geometry.

Cell lengths 5.8476, 5.8476, 5.8476 Å; angles 150.40, 128.78, 60.27 degrees
Fractional coordinates of all 4 atoms:
W 0.2522 0.7522 0.5000
Mg 0.4949 0.4949 0.0000
Cd 0.7497 0.2497 0.5000
Cd 0.0032 0.0032 0.0000

Output
Total moment, μB per cell: 0.0
Space-group type: Imm2 (44)
Energy of formation from the pure elements, eV per atom: 0.50


[2]
DFT (PBE) results for crystalline MgCd2W at its relaxed geometry.

Cell lengths 2.8683, 2.8683, 9.5075 Å; angles 90.00, 90.00, 101.81 degrees
Fractional coordinates of all 4 atoms:
Mg 0.0000 0.0000 0.5150
Cd 0.0000 0.0000 0.9860
Cd 0.5000 0.5000 0.2548
W 0.5000 0.5000 0.7442

Output
Total moment, μB per cell: 0.0
Space-group type: Cmm2 (35)
Energy of formation from the pure elements, eV per atom: 0.31


[3]
DFT (PBE) results for crystalline Mg14CdW at its relaxed geometry.

Cell lengths 6.2552, 6.2552, 10.1195 Å; angles 90.00, 90.00, 119.72 degrees
Fractional coordinates of all 16 atoms:
Mg 0.1664 0.8336 0.2476
Cd 0.3313 0.6687 0.5000
Mg 0.3350 0.1695 0.0000
Mg 0.6722 0.3278 0.2598
Mg 0.3352 0.1650 0.5000
W 0.8331 0.1669 0.5000
Mg 0.1664 0.8336 0.7524
Mg 0.8305 0.6650 0.0000
Mg 0.8350 0.6648 0.5000
Mg 0.1555 0.3287 0.7363
Mg 0.8341 0.1659 0.0000
Mg 0.6713 0.8445 0.7363
Mg 0.6713 0.8445 0.2637
Mg 0.3352 0.6648 0.0000
Mg 0.6722 0.3278 0.7402
Mg 0.1555 0.3287 0.2637

Output
Total moment, μB per cell: 1.2
Space-group type: Amm2 (38)
Energy relative to the lowest polymorph listed for this composition, meV/atom: 9
Energy of formation from the pure elements, eV per atom: 0.13